1.
A plane-wave DFT calculation with PBE-GGA was carried out for a relaxed NpTi2Re crystal.

```
data_NpTi2Re
_chemical_formula_sum 'Np1 Ti2 Re1'
_cell_length_a 3.082
_cell_length_b 3.082
_cell_length_c 7.384
_cell_angle_alpha 90.00
_cell_angle_beta 90.00
_cell_angle_gamma 90.00
_space_group_name_H-M_alt 'P 4/m m m'
_space_group_IT_number 123
_space_group_name_Hall '-P 4 2'
loop_
_atom_site_label
_atom_site_fract_x
_atom_site_fract_y
_atom_site_fract_z
_atom_site_occupancy
Np1 0.000 0.000 0.000 1
Ti1 0.500 0.500 0.292 1
Re1 0.000 0.000 0.500 1
```


2.
A plane-wave DFT calculation with PBE-GGA was carried out for a relaxed NpTiVRe crystal.

```
data_NpTiVRe
_chemical_formula_sum 'Np4 Ti4 V4 Re4'
_cell_length_a 6.366
_cell_length_b 6.366
_cell_length_c 6.366
_cell_angle_alpha 90.00
_cell_angle_beta 90.00
_cell_angle_gamma 90.00
_space_group_name_H-M_alt 'F -4 3 m'
_space_group_IT_number 216
_space_group_name_Hall 'F -4 2 3'
loop_
_atom_site_label
_atom_site_fract_x
_atom_site_fract_y
_atom_site_fract_z
_atom_site_occupancy
Np1 0.000 0.000 0.000 1
Ti1 0.250 0.250 0.750 1
V1 0.250 0.250 0.250 1
Re1 0.000 0.000 0.500 1
```


3.
A plane-wave DFT calculation with PBE-GGA was carried out for a relaxed TmNpRe4 crystal.

```
data_TmNpRe4
_chemical_formula_sum 'Tm4 Np4 Re16'
_cell_length_a 7.635
_cell_length_b 7.635
_cell_length_c 7.635
_cell_angle_alpha 90.00
_cell_angle_beta 90.00
_cell_angle_gamma 90.00
_space_group_name_H-M_alt 'F -4 3 m'
_space_group_IT_number 216
_space_group_name_Hall 'F -4 2 3'
loop_
_atom_site_label
_atom_site_fract_x
_atom_site_fract_y
_atom_site_fract_z
_atom_site_occupancy
Tm1 0.000 0.000 0.000 1
Np1 0.250 0.250 0.250 1
Re1 0.125 0.125 0.625 1
```


4.
A plane-wave DFT calculation with PBE-GGA was carried out for a relaxed NpURe crystal.

```
data_NpURe
_chemical_formula_sum 'Np2 U2 Re2'
_cell_length_a 4.411
_cell_length_b 4.411
_cell_length_c 6.238
_cell_angle_alpha 90.00
_cell_angle_beta 90.00
_cell_angle_gamma 90.00
_space_group_name_H-M_alt 'P 4/n m m'
_space_group_IT_number 129
loop_
_space_group_symop_operation_xyz
'x,y,z'
'-x,-y,-z'
'-y+1/2,x,z'
'y+1/2,-x,-z'
'-x+1/2,-y+1/2,z'
'x+1/2,y+1/2,-z'
'y,-x+1/2,z'
'-y,x+1/2,-z'
'x+1/2,-y,-z'
'-x+1/2,y,z'
'-y,-x,-z'
'y,x,z'
'-x,y+1/2,-z'
'x,-y+1/2,z'
'y+1/2,x+1/2,-z'
'-y+1/2,-x+1/2,z'
loop_
_atom_site_label
_atom_site_fract_x
_atom_site_fract_y
_atom_site_fract_z
_atom_site_occupancy
Np1 0.250 0.250 0.240 1
U1 0.250 0.750 0.000 1
Re1 0.250 0.750 0.500 1
```


5.
A plane-wave DFT calculation with PBE-GGA was carried out for a relaxed NpURe crystal.

```
data_NpURe
_chemical_formula_sum 'Np1 U1 Re1'
_cell_length_a 4.6369
_cell_length_b 4.6369
_cell_length_c 2.8821
_cell_angle_alpha 90.00
_cell_angle_beta 90.00
_cell_angle_gamma 120.00
_space_group_name_H-M_alt 'P 3 m 1'
_space_group_IT_number 156
loop_
_space_group_symop_operation_xyz
'x,y,z'
'-y,x-y,z'
'-x+y,-x,z'
'-y,-x,z'
'-x+y,y,z'
'x,x-y,z'
loop_
_atom_site_label
_atom_site_fract_x
_atom_site_fract_y
_atom_site_fract_z
_atom_site_occupancy
Np1 0.0000 0.0000 0.0000 1
U1 0.6667 0.3333 0.2424 1
Re1 0.3333 0.6667 0.6293 1
```


6.
A plane-wave DFT calculation with PBE-GGA was carried out for a relaxed NpURe crystal.

```
data_NpURe
_chemical_formula_sum 'Np2 U2 Re2'
_cell_length_a 3.333
_cell_length_b 3.333
_cell_length_c 9.736
_cell_angle_alpha 90.00
_cell_angle_beta 90.00
_cell_angle_gamma 90.00
_space_group_name_H-M_alt 'I 4 m m'
_space_group_IT_number 107
_space_group_name_Hall 'I 4 -2'
loop_
_atom_site_label
_atom_site_fract_x
_atom_site_fract_y
_atom_site_fract_z
_atom_site_occupancy
Np1 0.000 0.000 0.000 1
U1 0.000 0.000 0.369 1
Re1 0.000 0.000 0.682 1
```


7.
A plane-wave DFT calculation with PBE-GGA was carried out for a relaxed NpURe crystal.

```
data_NpURe
_chemical_formula_sum 'Np4 U4 Re4'
_cell_length_a 3.212
_cell_length_b 7.642
_cell_length_c 8.906
_cell_angle_alpha 90.00
_cell_angle_beta 90.00
_cell_angle_gamma 90.00
_space_group_name_H-M_alt 'I m m 2'
_space_group_IT_number 44
loop_
_space_group_symop_operation_xyz
'x,y,z'
'-x,-y,z'
'-x,y,z'
'x,-y,z'
'x+1/2,y+1/2,z+1/2'
'-x+1/2,-y+1/2,z+1/2'
'-x+1/2,y+1/2,z+1/2'
'x+1/2,-y+1/2,z+1/2'
loop_
_atom_site_label
_atom_site_fract_x
_atom_site_fract_y
_atom_site_fract_z
_atom_site_occupancy
Np1 0.000 0.161 0.000 1
U1 0.000 0.323 0.278 1
Re1 0.000 0.000 0.515 1
Re2 0.000 0.500 0.770 1
```


8.
A plane-wave DFT calculation with PBE-GGA was carried out for a relaxed NpU6Re2 crystal.

```
data_NpU6Re2
_chemical_formula_sum 'Np2 U12 Re4'
_cell_length_a 12.270
_cell_length_b 5.725
_cell_length_c 5.383
_cell_angle_alpha 90.00
_cell_angle_beta 109.92
_cell_angle_gamma 90.00
_space_group_name_H-M_alt 'C 1 2/m 1'
_space_group_IT_number 12
loop_
_space_group_symop_operation_xyz
'x,y,z'
'-x,-y,-z'
'-x,y,-z'
'x,-y,z'
'x+1/2,y+1/2,z'
'-x+1/2,-y+1/2,-z'
'-x+1/2,y+1/2,-z'
'x+1/2,-y+1/2,z'
loop_
_atom_site_label
_atom_site_fract_x
_atom_site_fract_y
_atom_site_fract_z
_atom_site_occupancy
Np1 0.000 0.000 0.000 1
U1 0.103 0.268 0.697 1
U2 0.187 0.000 0.385 1
Re1 0.108 0.500 0.167 1
```


9.
A plane-wave DFT calculation with PBE-GGA was carried out for a relaxed NpV2Re crystal.

```
data_NpV2Re
_chemical_formula_sum 'Np1 V2 Re1'
_cell_length_a 4.535
_cell_length_b 4.535
_cell_length_c 3.004
_cell_angle_alpha 90.00
_cell_angle_beta 90.00
_cell_angle_gamma 90.00
_space_group_name_H-M_alt 'P 4/m m m'
_space_group_IT_number 123
_space_group_name_Hall '-P 4 2'
loop_
_atom_site_label
_atom_site_fract_x
_atom_site_fract_y
_atom_site_fract_z
_atom_site_occupancy
Np1 0.000 0.000 0.000 1
V1 0.000 0.500 0.500 1
Re1 0.500 0.500 0.000 1
```


10.
A plane-wave DFT calculation with PBE-GGA was carried out for a relaxed NpV2Re crystal.

```
data_NpV2Re
_chemical_formula_sum 'Np1 V2 Re1'
_cell_length_a 3.013
_cell_length_b 3.013
_cell_length_c 7.006
_cell_angle_alpha 90.00
_cell_angle_beta 90.00
_cell_angle_gamma 90.00
_space_group_name_H-M_alt 'P 4/m m m'
_space_group_IT_number 123
_space_group_name_Hall '-P 4 2'
loop_
_atom_site_label
_atom_site_fract_x
_atom_site_fract_y
_atom_site_fract_z
_atom_site_occupancy
Np1 0.000 0.000 0.000 1
V1 0.500 0.500 0.282 1
Re1 0.000 0.000 0.500 1
```


11.
A plane-wave DFT calculation with PBE-GGA was carried out for a relaxed NpV2Re crystal.

```
data_NpV2Re
_chemical_formula_sum 'Np4 V8 Re4'
_cell_length_a 6.283
_cell_length_b 6.283
_cell_length_c 6.283
_cell_angle_alpha 90.00
_cell_angle_beta 90.00
_cell_angle_gamma 90.00
_space_group_name_H-M_alt 'F m -3 m'
_space_group_IT_number 225
_space_group_name_Hall '-F 4 2 3'
loop_
_atom_site_label
_atom_site_fract_x
_atom_site_fract_y
_atom_site_fract_z
_atom_site_occupancy
Np1 0.000 0.000 0.000 1
V1 0.250 0.250 0.250 1
Re1 0.000 0.000 0.500 1
```


12.
A plane-wave DFT calculation with PBE-GGA was carried out for a relaxed NpVRe2 crystal.

```
data_NpVRe2
_chemical_formula_sum 'Np1 V1 Re2'
_cell_length_a 3.036
_cell_length_b 3.036
_cell_length_c 7.054
_cell_angle_alpha 90.00
_cell_angle_beta 90.00
_cell_angle_gamma 90.00
_space_group_name_H-M_alt 'P 4/m m m'
_space_group_IT_number 123
_space_group_name_Hall '-P 4 2'
loop_
_atom_site_label
_atom_site_fract_x
_atom_site_fract_y
_atom_site_fract_z
_atom_site_occupancy
Np1 0.000 0.000 0.000 1
V1 0.000 0.000 0.500 1
Re1 0.500 0.500 0.286 1
```


The following formation energy values (in eV per atom) correspond, in order, to the records above: 0.00 0.17 0.00 0.71 0.08 0.09 0.16 0.22 0.20 0.11 0.19 0.10.